The following is a PBE-GGA calculation of crystalline Cs2CeMg3F12 at its relaxed geometry, from Alexandria.

a b c (Å): 7.5070 7.5070 19.2441
angles (deg): 90.00 90.00 120.00
Space group R-3m (No. 166, hexagonal axes)
Asymmetric unit:
Cs1 0.0000 0.0000 0.1003 [6 per cell]
Ce1 0.0000 0.0000 0.5000 [3 per cell]
Mg1 0.0000 0.5000 0.0000 [9 per cell]
F1 0.0433 0.5216 0.1094 [18 per cell]
F2 0.0799 0.5399 0.3398 [18 per cell]

Computed properties:
* ΔE_f (raw): -3444 meV per atom

=====

The following is a PBE-GGA calculation of crystalline Si2Au at its relaxed geometry, from Alexandria.

a b c (Å): 11.6012 3.1450 6.7435
angles (deg): 90.00 122.26 90.00
Space group C2/m (No. 12)
Asymmetric unit:
Si1 0.1349 0.0000 0.3544 [4 per cell]
Si2 0.2408 0.5000 0.2047 [4 per cell]
Au1 0.0650 0.5000 0.7602 [4 per cell]

Computed properties:
* N(E_F): 0.401 states/eV/atom
* ΔE_f (raw): 180 meV per atom
* ΔE to the lowest computed polymorph: 84 meV/atom

=====

The following is a PBE-GGA calculation of crystalline Cs2HfHBr6 at its relaxed geometry, from Alexandria.

a b c (Å): 11.2784 11.2784 11.2784
angles (deg): 90.00 90.00 90.00
Space group Fm-3m (No. 225)
Asymmetric unit:
Cs1 0.2500 0.2500 0.2500 [8 per cell]
Hf1 0.0000 0.0000 0.0000 [4 per cell]
H1 0.0000 0.0000 0.5000 [4 per cell]
Br1 0.0000 0.0000 0.2329 [24 per cell]

Computed properties:
* N(E_F): 0.000 states/eV/atom

=====

The following is a PBE-GGA calculation of crystalline BIrNF2 at its relaxed geometry, from Alexandria.

a b c (Å): 4.5027 4.5027 2.6625
angles (deg): 90.00 90.00 90.00
Space group P4/mmm (No. 123)
Asymmetric unit:
B1 0.0000 0.0000 0.0000 [1 per cell]
Ir1 0.5000 0.5000 0.5000 [1 per cell]
N1 0.0000 0.0000 0.5000 [1 per cell]
F1 0.0000 0.5000 0.0000 [2 per cell]

Computed properties:
* N(E_F): 0.468 states/eV/atom
* ΔE_f (raw): 39 meV per atom
* ΔE to the lowest computed polymorph: 0 meV/atom

=====

Number 1: E -5.381 eV per atom. Number 2: E -4.528 eV per atom. Number 3: E -3.786 eV per atom. Number 4: E -5.482 eV per atom.